1.
This record from Alexandria via LeMat-Bulk describes a relaxed AlInSiRu2 crystal. The functional is PBE.

Geometry as POSCAR:
```
AlInSiRu2
1.0
4.5544 0.0000 0.0000
0.0000 4.5544 0.0000
0.0000 0.0000 4.4274
Al In Si Ru
1 1 1 2
Cartesian
0.0000 0.0000 0.0000
2.2772 2.2772 2.2137
0.0000 0.0000 2.2137
0.0000 2.2772 0.0000
2.2772 0.0000 0.0000
```

ΔE_f (raw) (eV/atom): 0.870
Total energy (eV per atom): -5.221
Total magnetization (Bohr magnetons per cell): 0.000

=====

2.
This record from Alexandria via LeMat-Bulk describes a relaxed AlInTeRu2 crystal. The functional is PBE.

Geometry as POSCAR:
```
AlInTeRu2
1.0
4.6515 0.0000 0.0000
0.0000 4.6515 0.0000
0.0000 0.0000 4.9748
Al In Te Ru
1 1 1 2
Cartesian
0.0000 0.0000 0.0000
2.3257 2.3257 2.4874
0.0000 0.0000 2.4874
0.0000 2.3257 0.0000
2.3257 0.0000 0.0000
```

ΔE_f (raw) (eV/atom): 0.988
Total energy (eV per atom): -4.647
Total magnetization (Bohr magnetons per cell): 0.753

=====

3.
This record from Alexandria via LeMat-Bulk describes a relaxed Th2Al2InRu5 crystal. The functional is PBE.

Geometry as POSCAR:
```
Th2Al2InRu5
1.0
10.1900 0.0000 0.0000
0.0000 10.1900 0.0000
0.0000 0.0000 3.4753
Th Al In Ru
4 4 2 10
Cartesian
1.7974 3.2976 0.0000
3.2976 8.3927 0.0000
6.8924 1.7974 0.0000
8.3927 6.8924 0.0000
1.2367 6.3317 0.0000
3.8583 1.2367 0.0000
6.3317 8.9533 0.0000
8.9533 3.8583 0.0000
0.0000 0.0000 0.0000
5.0950 5.0950 0.0000
0.0000 5.0950 1.7376
0.7408 8.0499 1.7376
2.1401 0.7408 1.7376
2.9549 5.8358 1.7376
4.3542 2.9549 1.7376
5.0950 0.0000 1.7376
5.8358 7.2351 1.7376
7.2351 4.3542 1.7376
8.0499 9.4492 1.7376
9.4492 2.1401 1.7376
```

Total energy (eV per atom): -7.545
Total magnetization (Bohr magnetons per cell): 0.000
Formation enthalpy at 0 K (eV/atom): -0.401

=====

Number 1: volume 92 Å³ per cell, D(E_F) 0.929 states/eV per atom. Number 2: volume 108 Å³ per cell, D(E_F) 1.253 states/eV per atom. Number 3: volume 361 Å³ per cell, D(E_F) 0.519 states/eV per atom.